No. 1
Material: LaWO5
Method: DFT, PBE with a Hubbard U
State: relaxed

The space group is C2/c (No. 15) and the conventional cell measures 9.354, 6.758 and 7.822 Å, with angles of 90.00, 114.25 and 90.00 degrees. The distinct sites, in fractional coordinates, are La at (0.000, 0.050, 0.250), W at (0.000, 0.500, 0.000), O at (0.000, 0.438, 0.250), O at (0.006, 0.217, 0.966) and O at (0.223, 0.489, 0.611).

No. 2
Material: LaWO3
Method: DFT, PBE with a Hubbard U
State: relaxed

The space group is Pm-3m (No. 221) and the conventional cell measures 4.147, 4.147 and 4.147 Å, with angles of 90.00, 90.00 and 90.00 degrees. The distinct sites, in fractional coordinates, are La at (0.000, 0.000, 0.000), W at (0.500, 0.500, 0.500) and O at (0.000, 0.500, 0.500).

| no. | electronic total energy (eV/cell) |
| --- | --- |
| 1 | -213.012 |
| 2 | -38.558 |